(1)
VASP calculation (PBE) on crystalline BaLiHf at its relaxed geometry.

Size of the total moment in μB per cell: 0.004
Space group: F-43m
Energy relative to the lowest polymorph listed for this composition in kJ/mol of formula units: 0

Lattice parameters (Å, degrees): 5.1584 5.1584 5.1584 60.00 60.00 60.00
Element x y z (fractional)
Ba (0.2500, 0.2500, 0.2500)
Hf (0.0000, 0.0000, 0.0000)
Li (0.7500, 0.7500, 0.7500)

---

(2)
VASP calculation (PBE) on crystalline SmCu4Au8 at its relaxed geometry.

Size of the total moment in μB per cell: 0.005
Space group: I4/mmm
E in eV per atom: -3.781

Lattice parameters (Å, degrees): 7.0200 7.0200 7.0200 98.18 98.18 135.68
Element x y z (fractional)
Au (0.7189, 0.5000, 0.2189)
Au (0.5000, 0.7189, 0.2189)
Au (0.3380, 0.0000, 0.3380)
Au (0.0000, 0.3380, 0.3380)
Au (0.6620, 0.0000, 0.6620)
Au (0.0000, 0.6620, 0.6620)
Au (0.5000, 0.2811, 0.7811)
Au (0.2811, 0.5000, 0.7811)
Cu (0.5000, 0.0000, 0.0000)
Cu (0.0000, 0.5000, 0.0000)
Cu (0.0000, 0.0000, 0.5000)
Cu (0.5000, 0.5000, 0.5000)
Sm (0.0000, 0.0000, 0.0000)

---

(3)
VASP calculation (PBE) on crystalline SiMo3N2 at its relaxed geometry.

Size of the total moment in μB per cell: 0.032
Space group: P6_3/mmc
E in eV per atom: -9.173

Lattice parameters (Å, degrees): 2.8764 2.8764 19.5187 90.00 90.00 120.00
Element x y z (fractional)
Mo (0.0000, 0.0000, 0.0000)
Mo (0.6667, 0.3333, 0.1463)
Mo (0.6667, 0.3333, 0.3537)
Mo (0.0000, 0.0000, 0.5000)
Mo (0.3333, 0.6667, 0.6463)
Mo (0.3333, 0.6667, 0.8537)
N (0.3333, 0.6667, 0.0753)
N (0.3333, 0.6667, 0.4247)
N (0.6667, 0.3333, 0.5753)
N (0.6667, 0.3333, 0.9247)
Si (0.0000, 0.0000, 0.2500)
Si (0.0000, 0.0000, 0.7500)

---

(4)
VASP calculation (PBE) on crystalline SmFe2SiP at its relaxed geometry.

Size of the total moment in μB per cell: 0.001
Space group: I4mm
E in eV per atom: -7.284

Lattice parameters (Å, degrees): 5.5597 5.5597 5.5597 138.85 138.85 59.60
Element x y z (fractional)
Fe (0.7531, 0.2531, 0.5000)
Fe (0.2531, 0.7531, 0.5000)
P (0.3628, 0.3628, 0.0000)
Si (0.6334, 0.6334, 0.0000)
Sm (0.9976, 0.9976, 0.0000)

---

(5)
VASP calculation (PBE) on crystalline FeTcHgAs at its relaxed geometry.

Size of the total moment in μB per cell: 2.285
Space group: F-43m
Energy relative to the lowest polymorph listed for this composition in kJ/mol of formula units: 0

Lattice parameters (Å, degrees): 4.4582 4.4582 4.4582 60.00 60.00 60.00
Element x y z (fractional)
As (0.0000, 0.0000, 0.0000)
Fe (0.7500, 0.7500, 0.7500)
Hg (0.5000, 0.5000, 0.5000)
Tc (0.2500, 0.2500, 0.2500)

---

(6)
VASP calculation (PBE) on crystalline SmGdNO at its relaxed geometry.

Size of the total moment in μB per cell: 0.027
Space group: Pmc2_1
Energy relative to the lowest polymorph listed for this composition in kJ/mol of formula units: 54

Lattice parameters (Å, degrees): 3.8917 5.7742 6.7389 90.00 90.00 90.00
Element x y z (fractional)
Gd (0.5000, 0.9892, 0.1663)
Gd (0.5000, 0.4892, 0.8337)
N (0.0000, 0.8960, 0.3312)
N (0.0000, 0.3960, 0.6688)
O (0.5000, 0.3808, 0.1637)
O (0.5000, 0.8808, 0.8363)
Sm (0.0000, 0.4880, 0.3347)
Sm (0.0000, 0.9880, 0.6653)

---

(7)
VASP calculation (PBE) on crystalline TmCuSi2Ni at its relaxed geometry.

Size of the total moment in μB per cell: 0.000
Space group: I-4m2
E in eV per atom: -5.627

Lattice parameters (Å, degrees): 5.5758 5.5758 5.5758 138.81 138.81 59.67
Element x y z (fractional)
Cu (0.2500, 0.7500, 0.5000)
Ni (0.7500, 0.2500, 0.5000)
Si (0.3790, 0.3790, 0.0000)
Si (0.6210, 0.6210, 0.0000)
Tm (0.0000, 0.0000, 0.0000)

---

(8)
VASP calculation (PBE) on crystalline BaCuNiBi at its relaxed geometry.

Size of the total moment in μB per cell: 0.009
Space group: F-43m
Energy relative to the lowest polymorph listed for this composition in kJ/mol of formula units: 84

Lattice parameters (Å, degrees): 5.1767 5.1767 5.1767 60.00 60.00 60.00
Element x y z (fractional)
Ba (0.0000, 0.0000, 0.0000)
Bi (0.2500, 0.2500, 0.2500)
Cu (0.7500, 0.7500, 0.7500)
Ni (0.5000, 0.5000, 0.5000)